No. 1
The following is a GGA-PBE calculation of a geometry-optimized LiTaB3 structure, from Alexandria via LeMat-Bulk.

a b c (Å): 4.308 4.308 4.308
angles (deg): 90.00 90.00 90.00
Sites, in units of the cell vectors:
Li (0.000, 0.000, 0.000)
Ta (0.500, 0.500, 0.500)
B (0.000, 0.500, 0.500)
B (0.500, 0.000, 0.500)
B (0.500, 0.500, 0.000)

## Properties
The energy of formation from the pure elements is 1186 meV per atom.

No. 2
The following is a GGA-PBE calculation of a geometry-optimized PmHo2Zn2 structure, from Alexandria via LeMat-Bulk.

a b c (Å): 3.617 5.208 13.364
angles (deg): 90.00 97.78 90.00
Sites, in units of the cell vectors:
Pm (0.144, 0.250, 0.287)
Pm (0.856, 0.750, 0.713)
Ho (0.046, 0.750, 0.093)
Ho (0.232, 0.750, 0.465)
Ho (0.768, 0.250, 0.535)
Ho (0.954, 0.250, 0.907)
Zn (0.360, 0.250, 0.720)
Zn (0.454, 0.750, 0.907)
Zn (0.546, 0.250, 0.093)
Zn (0.640, 0.750, 0.280)

## Properties
The energy of formation from the pure elements is -259 meV per atom.

No. 3
The following is a GGA-PBE calculation of a geometry-optimized PmAlZnCu6 structure, from Alexandria via LeMat-Bulk.

a b c (Å): 7.405 7.405 7.405
angles (deg): 124.26 105.67 99.61
Sites, in units of the cell vectors:
Pm (0.474, 0.224, 0.250)
Pm (0.526, 0.776, 0.750)
Al (0.000, 0.000, 0.000)
Al (0.500, 0.000, 0.500)
Zn (0.000, 0.000, 0.500)
Zn (0.000, 0.500, 0.000)
Cu (0.120, 0.445, 0.311)
Cu (0.120, 0.809, 0.675)
Cu (0.171, 0.921, 0.250)
Cu (0.215, 0.465, 0.750)
Cu (0.366, 0.191, 0.811)
Cu (0.366, 0.555, 0.175)
Cu (0.634, 0.445, 0.825)
Cu (0.634, 0.809, 0.189)
Cu (0.785, 0.535, 0.250)
Cu (0.829, 0.079, 0.750)
Cu (0.880, 0.191, 0.325)
Cu (0.880, 0.555, 0.689)

## Properties
The energy of formation from the pure elements is 134 meV per atom.

No. 4
The following is a GGA-PBE calculation of a geometry-optimized TcAsOs2N structure, from Alexandria via LeMat-Bulk.

a b c (Å): 4.527 4.527 4.615
angles (deg): 90.00 90.00 90.00
Sites, in units of the cell vectors:
Tc (0.000, 0.000, 0.000)
As (0.000, 0.000, 0.500)
Os (0.000, 0.500, 0.500)
Os (0.500, 0.000, 0.500)
N (0.500, 0.500, 0.000)

## Properties
The formation energy from raw total energies comes out at 2.753 eV per atom.

No. 5
The following is a GGA-PBE calculation of a geometry-optimized LiLa2CdIn6 structure, from Alexandria via LeMat-Bulk.

a b c (Å): 6.070 7.325 7.379
angles (deg): 77.79 66.06 65.95
Sites, in units of the cell vectors:
Li (0.000, 0.000, 0.000)
La (0.490, 0.266, 0.753)
La (0.510, 0.734, 0.247)
Cd (0.000, 0.500, 0.500)
In (0.011, 0.279, 0.200)
In (0.159, 0.080, 0.594)
In (0.491, 0.726, 0.795)
In (0.509, 0.274, 0.205)
In (0.841, 0.920, 0.406)
In (0.989, 0.721, 0.800)

## Properties
The energy of formation from the pure elements is -257 meV per atom.

No. 6
The following is a GGA-PBE calculation of a geometry-optimized CsMn2P2 structure, from Alexandria via LeMat-Bulk.

a b c (Å): 7.863 7.863 7.863
angles (deg): 151.86 151.86 40.22
Sites, in units of the cell vectors:
Cs (0.000, 0.000, 0.000)
Mn (0.250, 0.750, 0.500)
Mn (0.750, 0.250, 0.500)
P (0.334, 0.334, 0.000)
P (0.666, 0.666, 0.000)

## Properties
The energy of formation from the pure elements is -480 meV per atom.

No. 7
The following is a GGA-PBE calculation of a geometry-optimized RbCaGa3 structure, from Alexandria via LeMat-Bulk.

a b c (Å): 5.778 5.778 5.778
angles (deg): 90.00 90.00 90.00
Sites, in units of the cell vectors:
Rb (0.000, 0.000, 0.000)
Ca (0.500, 0.500, 0.500)
Ga (0.000, 0.000, 0.500)
Ga (0.000, 0.500, 0.000)
Ga (0.500, 0.000, 0.000)

## Properties
The energy of formation from the pure elements is 847 meV per atom.

No. 8
The following is a GGA-PBE calculation of a geometry-optimized KTlInAg structure, from Alexandria via LeMat-Bulk.

a b c (Å): 6.704 6.704 6.704
angles (deg): 43.62 43.62 43.62
Sites, in units of the cell vectors:
K (0.000, 0.000, 0.000)
Tl (0.208, 0.208, 0.208)
In (0.471, 0.471, 0.471)
Ag (0.805, 0.805, 0.805)

## Properties
The energy of formation from the pure elements is -48 meV per atom.

No. 9
The following is a GGA-PBE calculation of a geometry-optimized Li5PaSe6 structure, from Alexandria via LeMat-Bulk.

a b c (Å): 6.754 6.754 6.820
angles (deg): 99.54 99.54 120.88
Sites, in units of the cell vectors:
Li (0.000, 0.000, 0.000)
Li (0.168, 0.832, 0.500)
Li (0.333, 0.667, 0.000)
Li (0.667, 0.333, 0.000)
Li (0.832, 0.168, 0.500)
Pa (0.500, 0.500, 0.500)
Se (0.081, 0.414, 0.245)
Se (0.249, 0.249, 0.749)
Se (0.414, 0.081, 0.245)
Se (0.586, 0.919, 0.755)
Se (0.751, 0.751, 0.251)
Se (0.919, 0.586, 0.755)

## Properties
The formation energy from raw total energies comes out at -1.088 eV per atom.

No. 10
The following is a GGA-PBE calculation of a geometry-optimized Zr4Tc2Ir structure, from Alexandria via LeMat-Bulk.

a b c (Å): 7.982 7.982 7.982
angles (deg): 33.56 33.56 33.56
Sites, in units of the cell vectors:
Zr (0.121, 0.121, 0.121)
Zr (0.372, 0.372, 0.372)
Zr (0.628, 0.628, 0.628)
Zr (0.879, 0.879, 0.879)
Tc (0.249, 0.249, 0.249)
Tc (0.751, 0.751, 0.751)
Ir (0.500, 0.500, 0.500)

## Properties
The energy of formation from the pure elements is -386 meV per atom.

No. 11
The following is a GGA-PBE calculation of a geometry-optimized CsCaAc2 structure, from Alexandria via LeMat-Bulk.

a b c (Å): 14.758 14.758 14.758
angles (deg): 15.59 15.59 15.59
Sites, in units of the cell vectors:
Cs (0.000, 0.000, 0.000)
Ca (0.500, 0.500, 0.500)
Ac (0.094, 0.094, 0.094)
Ac (0.906, 0.906, 0.906)

## Properties
The energy of formation from the pure elements is 248 meV per atom.

No. 12
The following is a GGA-PBE calculation of a geometry-optimized LiPu2Cl5 structure, from Alexandria via LeMat-Bulk.

a b c (Å): 7.630 7.630 10.414
angles (deg): 111.38 111.38 90.00
Sites, in units of the cell vectors:
Li (0.123, 0.877, 0.750)
Li (0.877, 0.123, 0.250)
Pu (0.000, 0.500, 0.000)
Pu (0.500, 0.000, 0.500)
Pu (0.500, 0.500, 0.000)
Pu (0.500, 0.500, 0.500)
Cl (0.197, 0.689, 0.894)
Cl (0.201, 0.204, 0.901)
Cl (0.204, 0.201, 0.401)
Cl (0.311, 0.803, 0.606)
Cl (0.374, 0.626, 0.250)
Cl (0.626, 0.374, 0.750)
Cl (0.689, 0.197, 0.394)
Cl (0.796, 0.799, 0.599)
Cl (0.799, 0.796, 0.099)
Cl (0.803, 0.311, 0.106)

## Properties
The formation energy from raw total energies comes out at -1.706 eV per atom.